Below is CdSiTeMoHW after structural relaxation, with properties calculated at the PBE-GGA level.

Cell and atoms, written as POSCAR:
```
CdSiTeMoHW
1.0
3.0787 0.0000 0.0000
-1.5320 4.1365 0.0000
-1.5087 -1.4919 8.6556
Cd Si Te Mo H W
1 1 1 1 1 1
direct
0.0000 0.0000 0.0000
0.7531 0.8596 0.6493
0.1269 0.9181 0.3294
0.9593 0.3934 0.5254
0.1938 0.5110 0.8818
0.5545 0.3367 0.7718
```

Energy above the lowest structure with this stoichiometry ... 164 meV per atom
Crystal system ... triclinic
SG ... P1 (1)

Below is Ti2CdMoH after structural relaxation, with properties calculated at the PBE-GGA level.

Cell and atoms, written as POSCAR:
```
Ti2CdMoH
1.0
4.3289 0.0000 0.0000
0.0000 4.3289 0.0000
0.0000 0.0000 3.7523
Ti Cd Mo H
2 1 1 1
direct
0.0000 0.5000 0.0000
0.5000 0.0000 0.0000
0.0000 0.0000 0.5000
0.5000 0.5000 0.5000
0.5000 0.5000 0.0000
```

Crystal system ... tetragonal
SG ... P4/mmm (123)
E_tot ... -6.258 eV/atom

Below is VCd2MoH after structural relaxation, with properties calculated at the PBE-GGA level.

Cell and atoms, written as POSCAR:
```
VCd2MoH
1.0
4.1523 0.0000 0.0000
0.0000 4.1523 0.0000
0.0000 0.0000 4.1973
V Cd Mo H
1 2 1 1
direct
0.0000 0.0000 0.0000
0.0000 0.5000 0.5000
0.5000 0.0000 0.5000
0.5000 0.5000 0.0000
0.5000 0.5000 0.5000
```

Crystal system ... tetragonal
SG ... P4/mmm (123)
E_tot ... -4.455 eV/atom

Below is V2CdMoH after structural relaxation, with properties calculated at the PBE-GGA level.

Cell and atoms, written as POSCAR:
```
V2CdMoH
1.0
3.9142 0.0000 0.0000
0.0000 3.9142 0.0000
0.0000 0.0000 4.2098
V Cd Mo H
2 1 1 1
direct
0.0000 0.5000 0.0000
0.5000 0.0000 0.0000
0.0000 0.0000 0.5000
0.5000 0.5000 0.5000
0.0000 0.0000 0.0000
```

Crystal system ... tetragonal
SG ... P4/mmm (123)
E_tot ... -6.333 eV/atom

Below is Cd2HN2 after structural relaxation, with properties calculated at the PBE-GGA level.

Cell and atoms, written as POSCAR:
```
Cd2HN2
1.0
4.6116 0.0000 0.0000
0.0000 4.6116 0.0000
0.0000 0.0000 8.6918
Cd H N
4 2 4
direct
0.0000 0.5000 0.2500
0.0000 0.5000 0.7500
0.5000 0.0000 0.2500
0.5000 0.0000 0.7500
0.0000 0.0000 0.0000
0.5000 0.5000 0.5000
0.0000 0.0000 0.4341
0.0000 0.0000 0.5659
0.5000 0.5000 0.0659
0.5000 0.5000 0.9341
```

Energy above the lowest structure with this stoichiometry ... 0 meV per atom
Crystal system ... tetragonal
SG ... I4/mmm (139)

Below is Cd2HN after structural relaxation, with properties calculated at the PBE-GGA level.

Cell and atoms, written as POSCAR:
```
Cd2HN
1.0
5.8864 0.0000 0.0000
0.0000 5.8864 0.0000
0.0000 0.0000 5.8864
Cd H N
8 4 4
direct
0.2500 0.2500 0.2500
0.2500 0.2500 0.7500
0.2500 0.7500 0.2500
0.2500 0.7500 0.7500
0.7500 0.2500 0.2500
0.7500 0.2500 0.7500
0.7500 0.7500 0.2500
0.7500 0.7500 0.7500
0.0000 0.0000 0.0000
0.0000 0.5000 0.5000
0.5000 0.0000 0.5000
0.5000 0.5000 0.0000
0.0000 0.0000 0.5000
0.0000 0.5000 0.0000
0.5000 0.0000 0.0000
0.5000 0.5000 0.5000
```

Energy above the lowest structure with this stoichiometry ... 306 meV per atom
Crystal system ... cubic
SG ... Fm-3m (225)

Below is CdH3N after structural relaxation, with properties calculated at the PBE-GGA level.

Cell and atoms, written as POSCAR:
```
CdH3N
1.0
3.3925 0.0000 0.0000
0.0000 3.3925 0.0000
0.0000 0.0000 3.3925
Cd H N
1 3 1
direct
0.0000 0.0000 0.0000
0.0000 0.5000 0.5000
0.5000 0.0000 0.5000
0.5000 0.5000 0.0000
0.5000 0.5000 0.5000
```

Energy above the lowest structure with this stoichiometry ... 918 meV per atom
Crystal system ... cubic
SG ... Pm-3m (221)

Below is CdHN2 after structural relaxation, with properties calculated at the PBE-GGA level.

Cell and atoms, written as POSCAR:
```
CdHN2
1.0
2.9178 0.0000 0.0000
-1.4589 2.5269 0.0000
0.0000 0.0000 17.8584
Cd H N
3 3 6
direct
0.0000 0.0000 0.0000
0.3333 0.6667 0.6667
0.6667 0.3333 0.3333
0.0000 0.0000 0.5000
0.3333 0.6667 0.1667
0.6667 0.3333 0.8333
0.0000 0.0000 0.1482
0.0000 0.0000 0.8518
0.3333 0.6667 0.5184
0.3333 0.6667 0.8149
0.6667 0.3333 0.1851
0.6667 0.3333 0.4816
```

Energy above the lowest structure with this stoichiometry ... 561 meV per atom
Crystal system ... trigonal
SG ... R-3m (166)

Below is CdH2N after structural relaxation, with properties calculated at the PBE-GGA level.

Cell and atoms, written as POSCAR:
```
CdH2N
1.0
2.7398 0.0000 0.0000
-1.3699 2.3727 0.0000
0.0000 0.0000 16.2376
Cd H N
3 6 3
direct
0.0000 0.0000 0.0000
0.3333 0.6667 0.6667
0.6667 0.3333 0.3333
0.0000 0.0000 0.1716
0.0000 0.0000 0.8284
0.3333 0.6667 0.4951
0.3333 0.6667 0.8383
0.6667 0.3333 0.1617
0.6667 0.3333 0.5049
0.0000 0.0000 0.5000
0.3333 0.6667 0.1667
0.6667 0.3333 0.8333
```

Energy above the lowest structure with this stoichiometry ... 451 meV per atom
Crystal system ... trigonal
SG ... R-3m (166)

Below is Cd3HN after structural relaxation, with properties calculated at the PBE-GGA level.

Cell and atoms, written as POSCAR:
```
Cd3HN
1.0
4.6158 0.0000 0.0000
0.0000 4.6158 0.0000
0.0000 0.0000 4.6158
Cd H N
3 1 1
direct
0.0000 0.0000 0.5000
0.0000 0.5000 0.0000
0.5000 0.0000 0.0000
0.5000 0.5000 0.5000
0.0000 0.0000 0.0000
```

Energy above the lowest structure with this stoichiometry ... 0 meV per atom
Crystal system ... cubic
SG ... Pm-3m (221)

Below is CdH2N after structural relaxation, with properties calculated at the PBE-GGA level.

Cell and atoms, written as POSCAR:
```
CdH2N
1.0
5.1443 0.0000 0.0000
0.0000 5.1443 0.0000
0.0000 0.0000 5.1443
Cd H N
4 8 4
direct
0.0000 0.0000 0.0000
0.0000 0.5000 0.5000
0.5000 0.0000 0.5000
0.5000 0.5000 0.0000
0.2500 0.2500 0.2500
0.2500 0.2500 0.7500
0.2500 0.7500 0.2500
0.2500 0.7500 0.7500
0.7500 0.2500 0.2500
0.7500 0.2500 0.7500
0.7500 0.7500 0.2500
0.7500 0.7500 0.7500
0.0000 0.0000 0.5000
0.0000 0.5000 0.0000
0.5000 0.0000 0.0000
0.5000 0.5000 0.5000
```

Energy above the lowest structure with this stoichiometry ... 868 meV per atom
Crystal system ... cubic
SG ... Fm-3m (225)

Below is CdHN2 after structural relaxation, with properties calculated at the PBE-GGA level.

Cell and atoms, written as POSCAR:
```
CdHN2
1.0
5.4366 0.0000 0.0000
0.0000 5.4366 0.0000
0.0000 0.0000 5.4366
Cd H N
4 4 8
direct
0.0000 0.0000 0.0000
0.0000 0.5000 0.5000
0.5000 0.0000 0.5000
0.5000 0.5000 0.0000
0.0000 0.0000 0.5000
0.0000 0.5000 0.0000
0.5000 0.0000 0.0000
0.5000 0.5000 0.5000
0.2500 0.2500 0.2500
0.2500 0.2500 0.7500
0.2500 0.7500 0.2500
0.2500 0.7500 0.7500
0.7500 0.2500 0.2500
0.7500 0.2500 0.7500
0.7500 0.7500 0.2500
0.7500 0.7500 0.7500
```

Energy above the lowest structure with this stoichiometry ... 890 meV per atom
Crystal system ... cubic
SG ... Fm-3m (225)

| no. | V (Å³ per atom) | DOS at the Fermi energy (states/eV/atom) |
| --- | --- | --- |
| 1 | 18.37 | 0.8120 |
| 2 | 14.06 | 0.9287 |
| 3 | 14.47 | 0.5698 |
| 4 | 12.90 | 0.7855 |
| 5 | 18.48 | 0.3311 |
| 6 | 12.75 | 0.0046 |
| 7 | 7.81 | 0.3733 |
| 8 | 10.97 | 0.3723 |
| 9 | 8.80 | 0.1979 |
| 10 | 19.67 | 0.2105 |
| 11 | 8.51 | 0.5433 |
| 12 | 10.04 | 0.7876 |